No. 1
! PBE MoC, relaxed; values from VASP
&SYSTEM
  ibrav = 0, nat = 12, ntyp = 2
/
ATOMIC_SPECIES
Mo 95.94 Mo.upf
C 12.01 C.upf
CELL_PARAMETERS angstrom
3.073 0.000 0.000
0.000 9.230 0.000
0.000 0.000 4.457
ATOMIC_POSITIONS angstrom
Mo 0.000 0.000 0.000
Mo 0.000 3.103 0.234
Mo 0.000 6.127 0.234
Mo 1.536 1.512 2.463
Mo 1.536 4.615 2.229
Mo 1.536 7.718 2.463
C 0.000 0.000 2.271
C 0.000 3.074 2.421
C 0.000 6.156 2.421
C 1.536 1.541 0.192
C 1.536 4.615 0.042
C 1.536 7.689 0.192
! final energy = -9.83 eV/atom
! formation enthalpy at 0 K = 0.392 eV per formula unit

=====

No. 2
! PBE NaAc3Ti2O9, relaxed; values from VASP
&SYSTEM
  ibrav = 0, nat = 15, ntyp = 4
/
ATOMIC_SPECIES
Na 22.99 Na.upf
Ac 227.00 Ac.upf
Ti 47.87 Ti.upf
O 16.00 O.upf
CELL_PARAMETERS angstrom
5.713 0.000 0.000
-2.857 4.948 0.000
0.000 0.000 7.057
ATOMIC_POSITIONS angstrom
Na 0.000 0.000 0.000
Ac 0.000 0.000 3.528
Ac 0.000 3.299 1.164
Ac 2.857 1.649 5.893
Ti 0.000 3.299 4.747
Ti 2.857 1.649 2.310
O -1.428 2.474 3.528
O 0.000 1.727 5.771
O -1.361 4.084 5.771
O 1.495 0.863 1.286
O 2.857 0.000 3.528
O 1.428 2.474 3.528
O 1.361 4.084 5.771
O 4.218 0.863 1.286
O 2.857 3.221 1.286
! final energy = -8.03 eV/atom
! formation energy (no corrections) = -3092.7 meV per atom